Entry 1:
Crystalline CsCoGe2 at its relaxed geometry, computed with GGA-PBE.

Output
Its crystal system is tetragonal. The calculation puts the uncorrected energy at -4.399 eV per atom. The polymorph energy (0 for the lowest one) is 0.00 eV/f.u. The formation energy from the elements is -0.10 eV per atom. The value obtained for the density of states at the Fermi level is 0.00 states/eV per cell.

```
data_CsCoGe2
_space_group_name_H-M_alt 'I 41/a m d'
_space_group_IT_number 141
_cell_length_a 7.122
_cell_length_b 7.122
_cell_length_c 9.915
_cell_angle_alpha 90.00
_cell_angle_beta 90.00
_cell_angle_gamma 90.00
loop_
_space_group_symop_operation_xyz
'x,y,z'
'-x,-y,-z'
'-y+1/4,x+3/4,z+1/4'
'y+1/4,-x+3/4,-z+1/4'
'-x+1/2,-y,z+1/2'
'x+1/2,y,-z+1/2'
'y+1/4,-x+1/4,z+3/4'
'-y+1/4,x+1/4,-z+3/4'
'x,-y,-z'
'-x,y,z'
'-y+1/4,-x+1/4,-z+3/4'
'y+1/4,x+1/4,z+3/4'
'-x+1/2,y,-z+1/2'
'x+1/2,-y,z+1/2'
'y+1/4,x+3/4,-z+1/4'
'-y+1/4,-x+3/4,z+1/4'
'x+1/2,y+1/2,z+1/2'
'-x+1/2,-y+1/2,-z+1/2'
'-y+3/4,x+1/4,z+3/4'
'y+3/4,-x+1/4,-z+3/4'
'-x,-y+1/2,z'
'x,y+1/2,-z'
'y+3/4,-x+3/4,z+1/4'
'-y+3/4,x+3/4,-z+1/4'
'x+1/2,-y+1/2,-z+1/2'
'-x+1/2,y+1/2,z+1/2'
'-y+3/4,-x+3/4,-z+1/4'
'y+3/4,x+3/4,z+1/4'
'-x,y+1/2,-z'
'x,-y+1/2,z'
'y+3/4,x+1/4,-z+3/4'
'-y+3/4,-x+1/4,z+3/4'
loop_
_atom_site_label
_atom_site_type_symbol
_atom_site_fract_x
_atom_site_fract_y
_atom_site_fract_z
Cs1 Cs 0.000 0.250 0.375
Co1 Co 0.000 0.250 0.875
Ge1 Ge 0.000 0.000 0.000
```

Entry 2:
Crystalline TlCuAs at its relaxed geometry, computed with GGA-PBE.

Output
Its crystal system is tetragonal. The calculation puts the uncorrected energy at -3.699 eV per atom. The polymorph energy (0 for the lowest one) is 0.01 eV/f.u. The formation energy from the elements is 0.00 eV per atom. The value obtained for the density of states at the Fermi level is 4.04 states/eV per cell.

```
data_TlCuAs
_space_group_name_H-M_alt 'I 4/m m m'
_space_group_IT_number 139
_space_group_name_Hall '-I 4 2'
_cell_length_a 4.016
_cell_length_b 4.016
_cell_length_c 16.864
_cell_angle_alpha 90.00
_cell_angle_beta 90.00
_cell_angle_gamma 90.00
loop_
_atom_site_label
_atom_site_type_symbol
_atom_site_fract_x
_atom_site_fract_y
_atom_site_fract_z
Tl1 Tl 0.000 0.000 0.172
Cu1 Cu 0.000 0.500 0.000
As1 As 0.000 0.000 0.412
```

Entry 3:
Crystalline RbBi4Pt2 at its relaxed geometry, computed with GGA-PBE.

Output
Its crystal system is orthorhombic. The calculation puts the uncorrected energy at -4.332 eV per atom. The polymorph energy (0 for the lowest one) is 0.00 eV/f.u. The formation energy from the elements is -0.25 eV per atom. The value obtained for the density of states at the Fermi level is 11.37 states/eV per cell.

```
data_RbBi4Pt2
_space_group_name_H-M_alt 'P n m a'
_space_group_IT_number 62
_space_group_name_Hall '-P 2ac 2n'
_cell_length_a 20.992
_cell_length_b 4.657
_cell_length_c 7.946
_cell_angle_alpha 90.00
_cell_angle_beta 90.00
_cell_angle_gamma 90.00
loop_
_atom_site_label
_atom_site_type_symbol
_atom_site_fract_x
_atom_site_fract_y
_atom_site_fract_z
Rb1 Rb 0.142 0.250 0.004
Bi1 Bi 0.026 0.750 0.137
Bi2 Bi 0.068 0.250 0.516
Bi3 Bi 0.181 0.750 0.698
Bi4 Bi 0.198 0.750 0.290
Pt1 Pt 0.036 0.750 0.732
Pt2 Pt 0.212 0.250 0.494
```

Entry 4:
Crystalline CaPPt at its relaxed geometry, computed with GGA-PBE.

Output
Its crystal system is triclinic. The calculation puts the uncorrected energy at -5.569 eV per atom. The formation energy from the elements is -1.09 eV per atom. The value obtained for the density of states at the Fermi level is 0.51 states/eV per cell.

```
data_CaPPt
_space_group_name_H-M_alt 'P 1'
_space_group_IT_number 1
_space_group_name_Hall 'P 1'
_cell_length_a 4.285
_cell_length_b 5.674
_cell_length_c 5.737
_cell_angle_alpha 101.32
_cell_angle_beta 104.77
_cell_angle_gamma 108.68
loop_
_atom_site_label
_atom_site_type_symbol
_atom_site_fract_x
_atom_site_fract_y
_atom_site_fract_z
Ca1 Ca 0.000 0.000 0.000
Ca2 Ca 0.036 0.460 0.541
P1 P 0.238 0.577 0.077
P2 P 0.378 0.061 0.606
Pt1 Pt 0.646 0.427 0.996
Pt2 Pt 0.722 0.851 0.420
```

Entry 5:
Crystalline Hg2PdSe2 at its relaxed geometry, computed with GGA-PBE.

Output
Its crystal system is orthorhombic. The value obtained for the formation energy without anion corrections is -0.0950 eV/atom. The calculation puts the uncorrected energy at -2.648 eV per atom. The polymorph energy (0 for the lowest one) is 0.00 eV/f.u. The value obtained for the density of states at the Fermi level is 1.99 states/eV per cell.

```
data_Hg2PdSe2
_space_group_name_H-M_alt 'C m m m'
_space_group_IT_number 65
_space_group_name_Hall '-C 2 2'
_cell_length_a 4.297
_cell_length_b 17.662
_cell_length_c 3.731
_cell_angle_alpha 90.00
_cell_angle_beta 90.00
_cell_angle_gamma 90.00
loop_
_atom_site_label
_atom_site_type_symbol
_atom_site_fract_x
_atom_site_fract_y
_atom_site_fract_z
Hg1 Hg 0.000 0.191 0.000
Pd1 Pd 0.000 0.500 0.500
Se1 Se 0.000 0.409 0.000
```

Entry 6:
Crystalline LaRe2Te4 at its relaxed geometry, computed with GGA-PBE.

Output
Its crystal system is tetragonal. The value obtained for the formation energy without anion corrections is 0.6412 eV/atom. The calculation puts the uncorrected energy at -5.415 eV per atom. The value obtained for the density of states at the Fermi level is 17.90 states/eV per cell.

```
data_LaRe2Te4
_space_group_name_H-M_alt 'I 4/m m m'
_space_group_IT_number 139
_space_group_name_Hall '-I 4 2'
_cell_length_a 5.980
_cell_length_b 5.980
_cell_length_c 13.943
_cell_angle_alpha 90.00
_cell_angle_beta 90.00
_cell_angle_gamma 90.00
loop_
_atom_site_label
_atom_site_type_symbol
_atom_site_fract_x
_atom_site_fract_y
_atom_site_fract_z
La1 La 0.000 0.000 0.000
Re1 Re 0.000 0.000 0.418
Te1 Te 0.000 0.000 0.232
Te2 Te 0.000 0.500 0.000
```